Entry 1:
## LaMg4Tl (GGA-PBE)

Data for a geometry-optimized LaMg4Tl structure.

abc: 6.1122 6.1122 6.1122
angles: 60.00 60.00 60.00
Last column: nearest neighbours and their distance in Å.
Element x y z (fractional)
La (0.0000, 0.0000, 0.0000)  12 Mg 3.58, 4 Tl 3.74
Mg (0.1238, 0.6254, 0.6254)  6 Mg 3.05-3.07
Mg (0.6254, 0.1238, 0.6254)  6 Mg 3.05-3.07
Mg (0.6254, 0.6254, 0.1238)  6 Mg 3.05-3.07
Mg (0.6254, 0.6254, 0.6254)  6 Mg 3.05-3.07
Tl (0.2500, 0.2500, 0.2500)  12 Mg 3.58, 4 La 3.74

Results
Its crystal system is cubic. The calculation puts the excess energy over the best structure of this formula in the dataset at 77 meV per atom. The calculation puts the volume at 161.5 Å³/cell. The value obtained for the mass density is 4.530 g cm⁻³. The value obtained for the formation enthalpy at 0 K is -0.03 eV per atom. The density of states at the Fermi level comes out at 3.732 states/eV/cell.


Entry 2:
## BeAlSn2N (GGA-PBE)

Data for a geometry-optimized BeAlSn2N structure.

abc: 5.4922 5.4922 3.0578
angles: 90.00 90.00 90.00
Last column: nearest neighbours and their distance in Å.
Element x y z (fractional)
Be (0.0000, 0.0000, 0.0000)  2 N 1.53
Al (0.5000, 0.5000, 0.5000)  2 Al 3.06, 8 Sn 3.14
Sn (0.0000, 0.5000, 0.0000)  2 Be 2.75, 2 Sn 3.06
Sn (0.5000, 0.0000, 0.0000)  2 Be 2.75, 2 Sn 3.06
N (0.0000, 0.0000, 0.5000)  2 Be 1.53

Results
Its crystal system is tetragonal. The calculation puts the volume at 92.2 Å³/cell. The uncorrected formation energy comes out at 220.0 meV/atom. The value obtained for the mass density is 5.174 g cm⁻³. The density of states at the Fermi level comes out at 1.994 states/eV/cell.


Entry 3:
## Th6AsPt2Se3 (GGA-PBE)

Data for a geometry-optimized Th6AsPt2Se3 structure.

abc: 9.5368 9.5368 8.6794
angles: 102.91 102.91 25.11
Last column: nearest neighbours and their distance in Å.
Element x y z (fractional)
Th (0.0025, 0.0025, 0.2464)  1 Pt 2.96, 2 As 2.97, 3 Se 3.03-3.04
Th (0.3303, 0.3303, 0.4327)  3 Pt 2.91-2.98, 3 Se 3.08-3.11
Th (0.3346, 0.3346, 0.9047)  2 Pt 2.91, 1 As 3.00, 3 Se 3.07-3.08
Th (0.6654, 0.6654, 0.0953)  2 Pt 2.91, 1 As 3.00, 3 Se 3.07-3.08
Th (0.6697, 0.6697, 0.5673)  3 Pt 2.91-2.98, 3 Se 3.08-3.11
Th (0.9975, 0.9975, 0.7536)  1 Pt 2.96, 2 As 2.97, 3 Se 3.03-3.04
As (0.5000, 0.5000, 0.0000)  6 Th 2.97-3.00
Pt (0.1661, 0.1661, 0.3306)  6 Th 2.91-2.98
Pt (0.8339, 0.8339, 0.6694)  6 Th 2.91-2.98
Se (0.1655, 0.1655, 0.8328)  6 Th 3.04-3.11
Se (0.5000, 0.5000, 0.5000)  6 Th 3.03-3.08
Se (0.8345, 0.8345, 0.1672)  6 Th 3.04-3.11

Results
Its crystal system is monoclinic. The calculation puts the volume at 326.1 Å³/cell. The uncorrected formation energy comes out at -1394.7 meV/atom. The value obtained for the mass density is 10.664 g cm⁻³. The density of states at the Fermi level comes out at 9.407 states/eV/cell.


Entry 4:
## Th2AlZn3 (GGA-PBE)

Data for a geometry-optimized Th2AlZn3 structure.

abc: 8.1716 8.1716 8.1716
angles: 151.23 148.70 43.03
Last column: nearest neighbours and their distance in Å.
Element x y z (fractional)
Th (0.0000, 0.0000, 0.0000)  4 Al 3.21, 8 Zn 3.29-3.35
Th (0.7628, 0.2628, 0.5000)  10 Zn 3.19-3.31, 2 Al 3.31
Al (0.4251, 0.4251, 0.0000)  3 Zn 2.46-2.53
Zn (0.1705, 0.6705, 0.5000)  3 Zn 2.49-2.51
Zn (0.3343, 0.8343, 0.5000)  2 Al 2.46, 1 Zn 2.49
Zn (0.5918, 0.5918, 0.0000)  2 Zn 2.51, 1 Al 2.53

Results
Its crystal system is orthorhombic. The calculation puts the excess energy over the best structure of this formula in the dataset at 44 meV per atom. The calculation puts the volume at 136.1 Å³/cell. The value obtained for the mass density is 8.387 g cm⁻³. The value obtained for the formation enthalpy at 0 K is -0.27 eV per atom. The density of states at the Fermi level comes out at 7.516 states/eV/cell.


Which formula does entry 2 have?
BeAlSn2N


Among the records above, which one has the highest mass density?
Th6AsPt2Se3


Look up the mass density of the fourth one.
8.387 g cm⁻³


What is the mass density in the third record?
10.664 g cm⁻³